## a
Here is a geometry-optimized ScAgSnOs structure from Alexandria via LeMat-Bulk. Energies are from PBE-GGA.

Results
Crystal system ... orthorhombic
Space group ... Pmmm
D(E_F) ... 0.6125 states/eV per atom

```
ScAgSnOs
1.0
3.7100 0.0000 0.0000
0.0000 4.3463 0.0000
0.0000 0.0000 4.5034
Sc Ag Sn Os
1 1 1 1
Cartesian
0.0000 0.0000 0.0000 Sc
1.8550 0.0000 2.2517 Ag
0.0000 2.1732 2.2517 Sn
1.8550 2.1732 0.0000 Os
```

## b
Here is a geometry-optimized ScAgSnOs structure from Alexandria via LeMat-Bulk. Energies are from PBE-GGA.

Results
Crystal system ... orthorhombic
Space group ... Amm2
D(E_F) ... 0.4369 states/eV per atom

```
ScAgSnOs
1.0
4.4814 0.0000 0.0000
0.0000 1.6678 5.0987
0.0000 -1.6678 5.0987
Sc Ag Sn Os
1 1 1 1
Cartesian
0.0000 0.0000 0.0000 Sc
0.0000 0.0000 2.7810 Ag
2.2407 0.0000 7.1828 Sn
2.2407 0.0000 4.4609 Os
```

Most favorable structure: a. The second most favorable one is 0.050 eV/atom above it.

## a
Here is a geometry-optimized ScAgSnOs structure from Alexandria via LeMat-Bulk. Energies are from PBE-GGA.

Results
Crystal system ... triclinic
Space group ... P1
D(E_F) ... 0.3681 states/eV per atom

```
ScAgSnOs
1.0
3.4103 0.0000 0.0000
-1.7041 4.7803 0.0000
-1.6978 -0.6742 4.8033
Sc Ag Sn Os
1 1 1 1
Cartesian
0.0000 0.0000 0.0000 Sc
-1.6964 1.9378 3.8805 Ag
0.0070 2.7164 1.8250 Sn
0.0080 -0.0622 2.6953 Os
```

## b
Here is a geometry-optimized ScAgSnOs structure from Alexandria via LeMat-Bulk. Energies are from PBE-GGA.

Results
Crystal system ... monoclinic
Space group ... Cm
D(E_F) ... 0.2553 states/eV per atom

```
ScAgSnOs
1.0
4.8524 -1.6870 0.0000
4.8524 1.6870 0.0000
-1.3687 0.0000 4.5020
Sc Ag Sn Os
1 1 1 1
Cartesian
0.0000 0.0000 0.0000 Sc
1.2816 0.0000 3.7413 Ag
6.9358 0.0000 1.5922 Sn
4.1585 0.0000 2.1969 Os
```

## c
Here is a geometry-optimized ScAgSnOs structure from Alexandria via LeMat-Bulk. Energies are from PBE-GGA.

Results
Crystal system ... orthorhombic
Space group ... F222
D(E_F) ... 0.6169 states/eV per atom

```
ScAgSnOs
1.0
0.0000 3.3069 3.3165
3.2955 0.0000 3.3165
3.2955 3.3069 0.0000
Sc Ag Sn Os
1 1 1 1
Cartesian
0.0000 0.0000 0.0000 Sc
1.6478 1.6535 1.6582 Ag
3.2955 3.3069 3.3165 Sn
4.9433 4.9604 4.9747 Os
```

## d
Here is a geometry-optimized ScAgSnOs structure from Alexandria via LeMat-Bulk. Energies are from PBE-GGA.

Results
Crystal system ... monoclinic
Space group ... Cm
D(E_F) ... 0.8014 states/eV per atom

```
ScAgSnOs
1.0
4.6278 -1.6017 0.0000
4.6278 1.6017 0.0000
-1.0217 0.0000 5.0476
Sc Ag Sn Os
1 1 1 1
Cartesian
0.0000 0.0000 0.0000 Sc
6.7765 0.0000 1.2539 Ag
4.3286 0.0000 2.6899 Sn
1.7257 0.0000 3.8145 Os
```

Most favorable structure: c. The second most favorable one is 0.006 eV/atom above it.

## a
Here is a geometry-optimized ScAgSnOs structure from Alexandria via LeMat-Bulk. Energies are from PBE-GGA.

Results
Crystal system ... orthorhombic
Space group ... Pmm2
D(E_F) ... 0.4241 states/eV per atom

```
ScAgSnOs
1.0
3.4853 0.0000 0.0000
0.0000 3.7585 0.0000
0.0000 0.0000 5.7721
Sc Ag Sn Os
1 1 1 1
Cartesian
0.0000 0.0000 0.0000 Sc
0.0000 0.0000 2.7204 Ag
1.7427 1.8792 3.9507 Sn
1.7427 1.8792 1.0177 Os
```

## b
Here is a geometry-optimized ScAgSnOs structure from Alexandria via LeMat-Bulk. Energies are from PBE-GGA.

Results
Crystal system ... tetragonal
Space group ... I-4m2
D(E_F) ... 0.3753 states/eV per atom

```
ScAgSnOs
1.0
-2.0476 2.0476 4.2914
2.0476 -2.0476 4.2914
2.0476 2.0476 -4.2914
Sc Ag Sn Os
1 1 1 1
Cartesian
0.0000 0.0000 0.0000 Sc
2.0476 0.0000 2.1457 Ag
0.0000 2.0476 2.1457 Sn
0.0000 0.0000 4.2914 Os
```

## c
Here is a geometry-optimized ScAgSnOs structure from Alexandria via LeMat-Bulk. Energies are from PBE-GGA.

Results
Crystal system ... monoclinic
Space group ... Cm
D(E_F) ... 0.2533 states/eV per atom

```
ScAgSnOs
1.0
4.9037 -1.7079 0.0000
4.9037 1.7079 0.0000
-1.4849 0.0000 4.4024
Sc Ag Sn Os
1 1 1 1
Cartesian
0.0000 0.0000 0.0000 Sc
4.0294 0.0000 2.1412 Ag
1.2954 0.0000 2.9339 Sn
6.8994 0.0000 0.6541 Os
```

## d
Here is a geometry-optimized ScAgSnOs structure from Alexandria via LeMat-Bulk. Energies are from PBE-GGA.

Results
Crystal system ... tetragonal
Space group ... P4mm
D(E_F) ... 0.2797 states/eV per atom

```
ScAgSnOs
1.0
3.3660 0.0000 0.0000
0.0000 3.3660 0.0000
0.0000 0.0000 6.5854
Sc Ag Sn Os
1 1 1 1
Cartesian
0.0000 0.0000 0.0000 Sc
1.6830 1.6830 1.7165 Ag
0.0000 0.0000 3.5233 Sn
1.6830 1.6830 5.1527 Os
```

Most favorable structure: d. The second most favorable one is 0.027 eV/atom above it.

## a
Here is a geometry-optimized TmScAgOs structure from Alexandria via LeMat-Bulk. Energies are from PBE-GGA.

Results
Crystal system ... tetragonal
Space group ... P4mm
D(E_F) ... 0.4473 states/eV per atom

```
TmScAgOs
1.0
3.2952 0.0000 0.0000
0.0000 3.2952 0.0000
0.0000 0.0000 7.3312
Tm Sc Ag Os
1 1 1 1
Cartesian
0.0000 0.0000 0.0000 Tm
0.0000 0.0000 4.1226 Sc
1.6476 1.6476 2.1810 Ag
1.6476 1.6476 5.6221 Os
```

## b
Here is a geometry-optimized TmScAgOs structure from Alexandria via LeMat-Bulk. Energies are from PBE-GGA.

Results
Crystal system ... cubic
Space group ... F-43m
D(E_F) ... 0.3596 states/eV per atom

```
TmScAgOs
1.0
0.0000 3.3812 3.3812
3.3812 0.0000 3.3812
3.3812 3.3812 0.0000
Tm Sc Ag Os
1 1 1 1
Cartesian
0.0000 0.0000 0.0000 Tm
3.3812 3.3812 3.3812 Sc
5.0718 5.0718 5.0718 Ag
1.6906 1.6906 1.6906 Os
```

Most favorable structure: a. The second most favorable one is 0.070 eV/atom above it.

## a
Here is a geometry-optimized AgOsSe2 structure from Alexandria via LeMat-Bulk. Energies are from PBE-GGA.

Results
Crystal system ... tetragonal
Space group ... I-4m2
D(E_F) ... 1.1916 states/eV per atom

```
AgOsSe2
1.0
-1.9664 1.9664 4.5332
1.9664 -1.9664 4.5332
1.9664 1.9664 -4.5332
Ag Os Se
1 1 2
Cartesian
0.0000 0.0000 0.0000 Ag
1.9664 0.0000 2.2666 Os
0.0000 0.0000 4.5332 Se
0.0000 1.9664 2.2666 Se
```

## b
Here is a geometry-optimized AgOsSe2 structure from Alexandria via LeMat-Bulk. Energies are from PBE-GGA.

Results
Crystal system ... monoclinic
Space group ... C2/m
D(E_F) ... 0.4905 states/eV per atom

```
AgOsSe2
1.0
3.4745 -1.6032 0.0000
3.4745 1.6032 0.0000
-2.5961 0.0000 7.8603
Ag Os Se
1 1 2
Cartesian
0.0000 0.0000 0.0000 Ag
2.1765 0.0000 3.9301 Os
0.0891 0.0000 2.5602 Se
4.2639 0.0000 5.3001 Se
```

Most favorable structure: b. The second most favorable one is 0.774 eV/atom above it.

## a
Here is a geometry-optimized AgOsSe structure from Alexandria via LeMat-Bulk. Energies are from PBE-GGA.

Results
Crystal system ... hexagonal
Space group ... P-6m2
D(E_F) ... 0.6916 states/eV per atom

```
AgOsSe
1.0
4.2055 0.0000 0.0000
-2.1028 3.6421 0.0000
0.0000 0.0000 3.4318
Ag Os Se
1 1 1
Cartesian
0.0000 0.0000 0.0000 Ag
2.1028 1.2140 1.7159 Os
0.0000 2.4280 1.7159 Se
```

## b
Here is a geometry-optimized AgOsSe structure from Alexandria via LeMat-Bulk. Energies are from PBE-GGA.

Results
Crystal system ... tetragonal
Space group ... I4mm
D(E_F) ... 0.4450 states/eV per atom

```
AgOsSe
1.0
-1.5043 1.5043 6.1687
1.5043 -1.5043 6.1687
1.5043 1.5043 -6.1687
Ag Os Se
1 1 1
Cartesian
0.0000 0.0000 0.0000 Ag
0.0000 0.0000 4.1540 Os
0.0000 0.0000 9.0004 Se
```

## c
Here is a geometry-optimized AgOsSe structure from Alexandria via LeMat-Bulk. Energies are from PBE-GGA.

Results
Crystal system ... trigonal
Space group ... P3m1
D(E_F) ... 0.4784 states/eV per atom

```
AgOsSe
1.0
3.0724 0.0000 0.0000
-1.5362 2.6608 0.0000
0.0000 0.0000 6.7271
Ag Os Se
1 1 1
Cartesian
0.0000 0.0000 0.0000 Ag
0.0000 1.7739 2.2612 Os
1.5362 0.8869 3.9197 Se
```

## d
Here is a geometry-optimized AgOsSe structure from Alexandria via LeMat-Bulk. Energies are from PBE-GGA.

Results
Crystal system ... cubic
Space group ... F-43m
D(E_F) ... 1.0591 states/eV per atom

```
AgOsSe
1.0
0.0000 3.0600 3.0600
3.0600 0.0000 3.0600
3.0600 3.0600 0.0000
Ag Os Se
1 1 1
Cartesian
0.0000 0.0000 0.0000 Ag
1.5300 1.5300 1.5300 Os
3.0600 3.0600 3.0600 Se
```

Most favorable structure: b. The second most favorable one is 0.008 eV/atom above it.

## a
Here is a geometry-optimized Si2AgOs2 structure from Alexandria via LeMat-Bulk. Energies are from PBE-GGA.

Results
Crystal system ... tetragonal
Space group ... P4/mbm
D(E_F) ... 0.4396 states/eV per atom

```
Si2AgOs2
1.0
7.1332 0.0000 0.0000
0.0000 7.1332 0.0000
0.0000 0.0000 2.8643
Si Ag Os
4 2 4
Cartesian
1.0650 2.5016 0.0000 Si
2.5016 6.0682 0.0000 Si
4.6317 1.0650 0.0000 Si
6.0682 4.6317 0.0000 Si
0.0000 0.0000 1.4321 Ag
3.5666 3.5666 1.4321 Ag
1.0330 4.5996 1.4321 Os
2.5336 1.0330 1.4321 Os
4.5996 6.1002 1.4321 Os
6.1002 2.5336 1.4321 Os
```

## b
Here is a geometry-optimized Si2AgOs2 structure from Alexandria via LeMat-Bulk. Energies are from PBE-GGA.

Results
Crystal system ... tetragonal
Space group ... P4/mbm
D(E_F) ... 0.4340 states/eV per atom

```
Si2AgOs2
1.0
7.1259 0.0000 0.0000
0.0000 7.1259 0.0000
0.0000 0.0000 2.8215
Si Ag Os
4 2 4
Cartesian
1.0302 2.5328 0.0000 Si
2.5328 6.0957 0.0000 Si
4.5931 1.0302 0.0000 Si
6.0957 4.5931 0.0000 Si
0.0000 0.0000 0.0000 Ag
3.5629 3.5629 0.0000 Ag
1.0631 4.6261 1.4107 Os
2.4998 1.0631 1.4107 Os
4.6261 6.0628 1.4107 Os
6.0628 2.4998 1.4107 Os
```

Most favorable structure: b. The second most favorable one is 0.020 eV/atom above it.

## a
Here is a geometry-optimized SiAg3Os structure from Alexandria via LeMat-Bulk. Energies are from PBE-GGA.

Results
Crystal system ... cubic
Space group ... Pm-3m
D(E_F) ... 1.1514 states/eV per atom

```
SiAg3Os
1.0
5.0521 0.0000 0.0000
0.0000 5.0521 0.0000
0.0000 0.0000 5.0521
Si Ag Os
1 3 1
Cartesian
0.0000 0.0000 0.0000 Si
0.0000 2.5260 2.5260 Ag
2.5260 0.0000 2.5260 Ag
2.5260 2.5260 0.0000 Ag
2.5260 2.5260 2.5260 Os
```

## b
Here is a geometry-optimized SiAg3Os structure from Alexandria via LeMat-Bulk. Energies are from PBE-GGA.

Results
Crystal system ... cubic
Space group ... Pm-3m
D(E_F) ... 1.0003 states/eV per atom

```
SiAg3Os
1.0
4.6296 0.0000 0.0000
0.0000 4.6296 0.0000
0.0000 0.0000 4.6296
Si Ag Os
1 3 1
Cartesian
0.0000 0.0000 0.0000 Si
0.0000 0.0000 2.3148 Ag
0.0000 2.3148 0.0000 Ag
2.3148 0.0000 0.0000 Ag
2.3148 2.3148 2.3148 Os
```

Most favorable structure: b. The second most favorable one is 0.401 eV/atom above it.